i.
YSc3 | PBEsol | optimized geometry

Computed properties:
SG ... No. 166

abc: 6.153 6.153 6.153
angles: 117.05 117.05 117.05
Positions (direct):
Y 0.000 0.000 0.000
Sc 0.000 0.500 0.500
Sc 0.500 0.000 0.500
Sc 0.500 0.500 0.000

***

ii.
YSc3 | PBEsol | optimized geometry

Computed properties:
SG ... No. 221

abc: 4.646 4.646 4.646
angles: 90.00 90.00 90.00
Positions (direct):
Y 0.000 0.000 0.000
Sc 0.000 0.500 0.500
Sc 0.500 0.000 0.500
Sc 0.500 0.500 0.000

***

Energies in meV per atom, measured from the most stable structure: i 90; ii 0.

***

i.
Ag2PtAu | PBEsol | optimized geometry

Computed properties:
SG ... No. 65

abc: 2.773 2.773 9.586
angles: 90.00 90.00 118.21
Positions (direct):
Ag 0.000 0.000 0.247
Ag 0.000 0.000 0.753
Pt 0.500 0.500 0.000
Au 0.500 0.500 0.500

***

ii.
Ag2PtAu | PBEsol | optimized geometry

Computed properties:
SG ... No. 47

abc: 2.975 4.652 4.677
angles: 90.00 90.00 90.00
Positions (direct):
Ag 0.000 0.000 0.000
Ag 0.500 0.500 0.000
Pt 0.000 0.500 0.500
Au 0.500 0.000 0.500

***

Energies in meV per atom, measured from the most stable structure: i 0; ii 12.

***

i.
LiCd2Pt | PBEsol | optimized geometry

Computed properties:
SG ... No. 47

abc: 2.907 3.958 5.856
angles: 90.00 90.00 90.00
Positions (direct):
Li 0.000 0.000 0.000
Cd 0.500 0.500 0.251
Cd 0.500 0.500 0.749
Pt 0.000 0.000 0.500

***

ii.
LiCd2Pt | PBEsol | optimized geometry

Computed properties:
SG ... No. 119

abc: 4.996 4.996 4.996
angles: 132.53 132.53 69.39
Positions (direct):
Li 0.000 0.000 0.000
Cd 0.500 0.500 0.000
Cd 0.750 0.250 0.500
Pt 0.250 0.750 0.500

***

Energies in meV per atom, measured from the most stable structure: i 20; ii 0.

***

i.
Re2HgSb | PBEsol | optimized geometry

Computed properties:
SG ... No. 47

abc: 3.056 4.607 4.979
angles: 90.00 90.00 90.00
Positions (direct):
Re 0.000 0.000 0.000
Re 0.500 0.000 0.500
Hg 0.000 0.500 0.500
Sb 0.500 0.500 0.000

***

ii.
Re2HgSb | PBEsol | optimized geometry

Computed properties:
SG ... No. 12

abc: 4.645 4.645 5.324
angles: 100.50 100.50 38.18
Positions (direct):
Re 0.246 0.246 0.223
Re 0.754 0.754 0.777
Hg 0.000 0.000 0.500
Sb 0.500 0.500 0.000

***

Energies in meV per atom, measured from the most stable structure: i 184; ii 0.

***

i.
LiVNiO4 | PBEsol | optimized geometry

Computed properties:
SG ... No. 63

abc: 5.034 5.034 6.112
angles: 90.00 90.00 113.52
Positions (direct):
Li 0.166 0.834 0.750
Li 0.834 0.166 0.250
V 0.148 0.852 0.250
V 0.852 0.148 0.750
Ni 0.500 0.500 0.000
Ni 0.500 0.500 0.500
O 0.233 0.269 0.750
O 0.267 0.733 0.028
O 0.267 0.733 0.472
O 0.269 0.233 0.250
O 0.731 0.767 0.750
O 0.733 0.267 0.528
O 0.733 0.267 0.972
O 0.767 0.731 0.250

***

ii.
LiVNiO4 | PBEsol | optimized geometry

Computed properties:
SG ... No. 74

abc: 5.729 5.729 5.729
angles: 120.16 119.21 90.55
Positions (direct):
Li 0.500 0.000 0.000
Li 0.500 0.500 0.500
V 0.122 0.372 0.750
V 0.878 0.628 0.250
Ni 0.000 0.000 0.000
Ni 0.500 0.000 0.500
O 0.236 0.248 0.988
O 0.241 0.752 0.488
O 0.247 0.243 0.496
O 0.247 0.751 0.004
O 0.753 0.249 0.996
O 0.753 0.757 0.504
O 0.759 0.248 0.512
O 0.764 0.752 0.012

***

Energies in meV per atom, measured from the most stable structure: i 30; ii 0.

***

i.
KMo2Au | PBEsol | optimized geometry

Computed properties:
SG ... No. 71

abc: 6.513 6.513 6.513
angles: 156.90 133.98 52.10
Positions (direct):
K 0.000 0.000 0.000
Mo 0.286 0.786 0.500
Mo 0.714 0.214 0.500
Au 0.500 0.500 0.000

***

ii.
KMo2Au | PBEsol | optimized geometry

Computed properties:
SG ... No. 225

abc: 4.603 4.603 4.603
angles: 60.00 60.00 60.00
Positions (direct):
K 0.000 0.000 0.000
Mo 0.250 0.250 0.250
Mo 0.750 0.750 0.750
Au 0.500 0.500 0.500

***

Energies in meV per atom, measured from the most stable structure: i 0; ii 824.